No. 1
Here is ZrVSe4 after structural relaxation from Alexandria. Energies are from PBE-GGA.

Results
crystal system = monoclinic
DOS at the Fermi energy = 1.81 states/eV/f.u.
raw formation energy = -0.809 eV per atom
magnetization = 2.1 Bohr magnetons per cell
DFT total energy = -0.223 Ha/atom

Unit cell a=8.522 b=8.522 c=5.929 alpha=110.34 beta=110.34 gamma=118.86
Sites, in units of the cell vectors:
Zr1 0.189 0.811 0.750
Zr2 0.811 0.189 0.250
V1 0.447 0.553 0.250
V2 0.553 0.447 0.750
Se1 0.128 0.517 0.863
Se2 0.198 0.305 0.325
Se3 0.305 0.198 0.825
Se4 0.483 0.872 0.637
Se5 0.517 0.128 0.363
Se6 0.695 0.802 0.175
Se7 0.802 0.695 0.675
Se8 0.872 0.483 0.137

***

No. 2
Here is Pm8Er2Sc after structural relaxation from Alexandria. Energies are from PBE-GGA.

Results
crystal system = orthorhombic
DOS at the Fermi energy = 16.83 states/eV/f.u.
formation energy from the elements = 0.11 eV per atom
relative energy among the computed polymorphs = 0 meV/atom
magnetization = 0.0 Bohr magnetons per cell
DFT total energy = -0.174 Ha/atom

Unit cell a=9.452 b=9.452 c=9.452 alpha=145.09 beta=130.12 gamma=62.32
Sites, in units of the cell vectors:
Pm1 0.160 0.368 0.792
Pm2 0.168 0.168 0.000
Pm3 0.283 0.000 0.283
Pm4 0.423 0.632 0.792
Pm5 0.577 0.368 0.208
Pm6 0.717 0.000 0.717
Pm7 0.832 0.832 0.000
Pm8 0.840 0.632 0.208
Er1 0.300 0.800 0.500
Er2 0.700 0.200 0.500
Sc1 0.000 0.500 0.500

***

No. 3
Here is Li15Ca2Tl2 after structural relaxation from Alexandria. Energies are from PBE-GGA.

Results
crystal system = trigonal
DOS at the Fermi energy = 9.30 states/eV/f.u.
formation energy from the elements = -0.06 eV per atom
magnetization = 0.0 Bohr magnetons per cell
DFT total energy = -0.075 Ha/atom

Unit cell a=7.504 b=7.504 c=7.504 alpha=83.34 beta=83.34 gamma=83.34
Sites, in units of the cell vectors:
Li1 0.000 0.000 0.500
Li2 0.000 0.274 0.726
Li3 0.000 0.500 0.000
Li4 0.000 0.726 0.274
Li5 0.132 0.645 0.645
Li6 0.274 0.000 0.726
Li7 0.274 0.726 0.000
Li8 0.355 0.355 0.868
Li9 0.355 0.868 0.355
Li10 0.500 0.000 0.000
Li11 0.645 0.132 0.645
Li12 0.645 0.645 0.132
Li13 0.726 0.000 0.274
Li14 0.726 0.274 0.000
Li15 0.868 0.355 0.355
Ca1 0.348 0.348 0.348
Ca2 0.652 0.652 0.652
Tl1 0.115 0.115 0.115
Tl2 0.885 0.885 0.885

***

No. 4
Here is AcGa2SiRh after structural relaxation from Alexandria. Energies are from PBE-GGA.

Results
crystal system = orthorhombic
DOS at the Fermi energy = 2.36 states/eV/f.u.
raw formation energy = -0.639 eV per atom
magnetization = 0.0 Bohr magnetons per cell
DFT total energy = -0.192 Ha/atom

Unit cell a=6.220 b=6.220 c=6.220 alpha=139.74 beta=139.67 gamma=58.30
Sites, in units of the cell vectors:
Ac1 0.000 0.000 0.000
Ga1 0.379 0.379 0.000
Ga2 0.749 0.249 0.500
Si1 0.623 0.623 0.000
Rh1 0.238 0.738 0.500

***

No. 5
Here is AcNd3Bi3 after structural relaxation from Alexandria. Energies are from PBE-GGA.

Results
crystal system = cubic
DOS at the Fermi energy = 7.99 states/eV/f.u.
formation energy from the elements = -0.81 eV per atom
relative energy among the computed polymorphs = 0 meV/atom
magnetization = 0.0 Bohr magnetons per cell
DFT total energy = -0.188 Ha/atom

Unit cell a=9.845 b=9.845 c=9.845 alpha=90.00 beta=90.00 gamma=90.00
Sites, in units of the cell vectors:
Ac1 0.070 0.430 0.570
Ac2 0.430 0.570 0.070
Ac3 0.570 0.070 0.430
Ac4 0.930 0.930 0.930
Nd1 0.076 0.576 0.924
Nd2 0.179 0.821 0.321
Nd3 0.182 0.182 0.182
Nd4 0.318 0.818 0.682
Nd5 0.321 0.179 0.821
Nd6 0.424 0.424 0.424
Nd7 0.576 0.924 0.076
Nd8 0.679 0.679 0.679
Nd9 0.682 0.318 0.818
Nd10 0.818 0.682 0.318
Nd11 0.821 0.321 0.179
Nd12 0.924 0.076 0.576
Bi1 0.002 0.258 0.882
Bi2 0.118 0.502 0.242
Bi3 0.242 0.118 0.502
Bi4 0.258 0.882 0.002
Bi5 0.382 0.498 0.742
Bi6 0.498 0.742 0.382
Bi7 0.502 0.242 0.118
Bi8 0.618 0.998 0.758
Bi9 0.742 0.382 0.498
Bi10 0.758 0.618 0.998
Bi11 0.882 0.002 0.258
Bi12 0.998 0.758 0.618

***

No. 6
Here is Ca2NiRh after structural relaxation from Alexandria. Energies are from PBE-GGA.

Results
crystal system = tetragonal
DOS at the Fermi energy = 1.78 states/eV/f.u.
formation energy from the elements = -0.14 eV per atom
magnetization = 0.0 Bohr magnetons per cell
DFT total energy = -0.162 Ha/atom

Unit cell a=4.814 b=4.814 c=3.469 alpha=90.00 beta=90.00 gamma=90.00
Sites, in units of the cell vectors:
Ca1 0.000 0.500 0.000
Ca2 0.500 0.000 0.000
Ni1 0.000 0.000 0.500
Rh1 0.500 0.500 0.500

***

No. 7
Here is Mn2WC after structural relaxation from Alexandria. Energies are from PBE-GGA.

Results
crystal system = tetragonal
DOS at the Fermi energy = 3.18 states/eV/f.u.
formation energy from the elements = 0.27 eV per atom
relative energy among the computed polymorphs = 157 meV/atom
magnetization = 3.6 Bohr magnetons per cell
DFT total energy = -0.362 Ha/atom

Unit cell a=5.068 b=5.068 c=5.068 alpha=100.89 beta=100.89 gamma=128.46
Sites, in units of the cell vectors:
Mn1 0.014 0.625 0.889
Mn2 0.375 0.264 0.389
Mn3 0.736 0.125 0.111
Mn4 0.875 0.986 0.611
W1 0.250 0.750 0.500
W2 0.500 0.500 0.000
C1 0.000 0.000 0.000
C2 0.750 0.250 0.500

***

No. 8
Here is NaAc3Se5 after structural relaxation from Alexandria. Energies are from PBE-GGA.

Results
crystal system = tetragonal
DOS at the Fermi energy = 0.00 states/eV/f.u.
raw formation energy = -1.747 eV per atom
magnetization = 0.0 Bohr magnetons per cell
DFT total energy = -0.191 Ha/atom

Unit cell a=9.542 b=9.542 c=9.542 alpha=127.93 beta=127.93 gamma=76.75
Sites, in units of the cell vectors:
Na1 0.250 0.750 0.500
Na2 0.750 0.250 0.500
Ac1 0.153 0.653 0.807
Ac2 0.250 0.250 0.000
Ac3 0.347 0.153 0.500
Ac4 0.653 0.847 0.500
Ac5 0.750 0.750 0.000
Ac6 0.847 0.347 0.193
Se1 0.000 0.000 0.000
Se2 0.031 0.187 0.500
Se3 0.187 0.687 0.156
Se4 0.313 0.469 0.500
Se5 0.469 0.969 0.156
Se6 0.500 0.500 0.000
Se7 0.531 0.031 0.844
Se8 0.687 0.531 0.500
Se9 0.813 0.313 0.844
Se10 0.969 0.813 0.500